[1]
The following is a DFT calculation (GGA-PBEsol) of Ag5BiO4 after structural relaxation.

The final energy comes out at -4.54 eV per atom. The space-group type is P2_1/c, No. 14. For the formation energy without anion corrections, the calculation gives -0.360 eV/atom.

a = 5.8534 Å, b = 8.8507 Å, c = 12.2945 Å
α = 90.00°, β = 91.34°, γ = 90.00°
Closest atoms and distances in Å follow each position.
Sites, in units of the cell vectors:
Ag (0.9570, 0.1434, 0.3537)  2 O 2.14-2.15
O (0.6730, 0.8678, 0.1214)  3 Ag 2.13-2.16, 1 Bi 2.20
O (0.9940, 0.1343, 0.0613)  2 Ag 2.06-2.07, 1 Bi 2.30
Ag (0.4689, 0.9905, 0.7539)  2 O 2.10-2.16
Ag (0.2528, 0.2732, 0.1203)  2 O 2.07-2.08
Bi (0.5481, 0.6175, 0.6249)  5 O 2.20-2.38
Ag (0.7546, 0.7680, 0.3726)  2 O 2.06-2.07
O (0.1730, 0.6322, 0.6214)  3 Ag 2.13-2.16, 1 Bi 2.20
O (0.6110, 0.8638, 0.6284)  2 Ag 2.08-2.10, 1 Bi 2.21
Ag (0.0311, 0.4905, 0.7461)  2 O 2.10-2.16
Ag (0.2454, 0.2320, 0.6274)  2 O 2.06-2.07
Bi (0.9519, 0.1175, 0.8751)  5 O 2.20-2.38
Ag (0.0430, 0.8566, 0.6463)  2 O 2.14-2.15
O (0.1110, 0.6362, 0.1284)  2 Ag 2.08-2.10, 1 Bi 2.21
O (0.5060, 0.6343, 0.4387)  2 Ag 2.06-2.07, 1 Bi 2.30
Ag (0.9689, 0.5095, 0.2539)  2 O 2.10-2.16
Ag (0.5430, 0.6434, 0.1463)  2 O 2.14-2.15
O (0.0019, 0.0889, 0.6907)  3 Ag 2.07-2.14, 1 Bi 2.31
O (0.8270, 0.3678, 0.3786)  3 Ag 2.13-2.16, 1 Bi 2.20
Ag (0.5000, 0.0000, 0.5000)  2 O 2.08
Bi (0.4519, 0.3825, 0.3751)  5 O 2.20-2.38
Ag (0.7528, 0.2268, 0.6203)  2 O 2.07-2.08
O (0.5019, 0.4111, 0.1907)  3 Ag 2.07-2.14, 1 Bi 2.31
Ag (0.5311, 0.0095, 0.2461)  2 O 2.10-2.16
Ag (0.0000, 0.5000, 0.0000)  2 O 2.08
Ag (0.2472, 0.7732, 0.3797)  2 O 2.07-2.08
O (0.4981, 0.5889, 0.8093)  3 Ag 2.07-2.14, 1 Bi 2.31
Ag (0.7472, 0.7268, 0.8797)  2 O 2.07-2.08
Ag (0.4570, 0.3566, 0.8537)  2 O 2.14-2.15
O (0.3270, 0.1322, 0.8786)  3 Ag 2.13-2.16, 1 Bi 2.20
Ag (0.0000, 0.5000, 0.5000)  2 O 2.13
O (0.3890, 0.1362, 0.3716)  2 Ag 2.08-2.10, 1 Bi 2.21
O (0.4940, 0.3657, 0.5613)  2 Ag 2.06-2.07, 1 Bi 2.30
Bi (0.0481, 0.8825, 0.1249)  5 O 2.20-2.38
Ag (0.5000, 0.0000, 0.0000)  2 O 2.13
O (0.0060, 0.8657, 0.9387)  2 Ag 2.06-2.07, 1 Bi 2.30
O (0.9981, 0.9111, 0.3093)  3 Ag 2.07-2.14, 1 Bi 2.31
Ag (0.2546, 0.7320, 0.8726)  2 O 2.06-2.07
O (0.8890, 0.3638, 0.8716)  2 Ag 2.08-2.10, 1 Bi 2.21
Ag (0.7454, 0.2680, 0.1274)  2 O 2.06-2.07

***

[2]
The following is a DFT calculation (GGA-PBEsol) of ZnAgBiO5 after structural relaxation.

The final energy comes out at -5.02 eV per atom. The space-group type is P2_1/c, No. 14. For the formation energy without anion corrections, the calculation gives -0.594 eV/atom.

a = 5.3264 Å, b = 8.1699 Å, c = 10.4707 Å
α = 90.00°, β = 90.00°, γ = 100.47°
Closest atoms and distances in Å follow each position.
Sites, in units of the cell vectors:
O (0.3993, 0.3132, 0.1853)  1 Ag 2.02, 1 Zn 2.03, 1 Bi 2.12
O (0.2609, 0.5101, 0.5450)  2 Zn 2.15-2.19, 2 Bi 2.16-2.24
O (0.2391, 0.9899, 0.0450)  2 Zn 2.15-2.19, 2 Bi 2.16-2.24
O (0.2679, 0.5762, 0.2940)  1 Zn 1.93, 1 Ag 2.03
Bi (0.6232, 0.6412, 0.6160)  6 O 2.05-2.24
Ag (0.1986, 0.4807, 0.1161)  4 O 2.02-2.08
Bi (0.1232, 0.1412, 0.8840)  6 O 2.05-2.24
O (0.7391, 0.4899, 0.4550)  2 Zn 2.15-2.19, 2 Bi 2.16-2.24
Ag (0.3014, 0.0193, 0.6161)  4 O 2.02-2.08
Bi (0.3768, 0.3588, 0.3840)  6 O 2.05-2.24
Zn (0.0896, 0.6738, 0.4264)  4 O 1.92-2.15
O (0.7679, 0.0762, 0.2060)  1 Zn 1.93, 1 Ag 2.03
O (0.9701, 0.7832, 0.5709)  1 Zn 1.92, 1 Bi 2.05
Ag (0.6986, 0.9807, 0.3839)  4 O 2.02-2.08
Zn (0.4104, 0.8262, 0.9264)  4 O 1.92-2.15
Zn (0.9104, 0.3262, 0.5736)  4 O 1.92-2.15
O (0.6007, 0.6868, 0.8147)  1 Ag 2.02, 1 Zn 2.03, 1 Bi 2.12
O (0.7321, 0.4238, 0.7060)  1 Zn 1.93, 1 Ag 2.03
O (0.8993, 0.8132, 0.3147)  1 Ag 2.02, 1 Zn 2.03, 1 Bi 2.12
O (0.4754, 0.8492, 0.5265)  2 Ag 2.03-2.08, 1 Bi 2.21
O (0.4701, 0.2832, 0.9291)  1 Zn 1.92, 1 Bi 2.05
O (0.9754, 0.3492, 0.9735)  2 Ag 2.03-2.08, 1 Bi 2.21
Bi (0.8768, 0.8588, 0.1160)  6 O 2.05-2.24
Zn (0.5896, 0.1738, 0.0736)  4 O 1.92-2.15
O (0.5299, 0.7168, 0.0709)  1 Zn 1.92, 1 Bi 2.05
O (0.0299, 0.2168, 0.4291)  1 Zn 1.92, 1 Bi 2.05
Ag (0.8014, 0.5193, 0.8839)  4 O 2.02-2.08
O (0.5246, 0.1508, 0.4735)  2 Ag 2.03-2.08, 1 Bi 2.21
O (0.2321, 0.9238, 0.7940)  1 Zn 1.93, 1 Ag 2.03
O (0.7609, 0.0101, 0.9550)  2 Zn 2.15-2.19, 2 Bi 2.16-2.24
O (0.1007, 0.1868, 0.6853)  1 Ag 2.02, 1 Zn 2.03, 1 Bi 2.12
O (0.0246, 0.6508, 0.0265)  2 Ag 2.03-2.08, 1 Bi 2.21

***

[3]
The following is a DFT calculation (GGA-PBEsol) of AgBi2P2 after structural relaxation.

The final energy comes out at -4.50 eV per atom. The value obtained for the formation energy is 0.19 eV per atom. The space-group type is I4/mmm, No. 139.

a = 3.3741 Å, b = 3.3741 Å, c = 9.8681 Å
α = 99.84°, β = 99.84°, γ = 90.00°
Closest atoms and distances in Å follow each position.
Sites, in units of the cell vectors:
Bi (0.6027, 0.6027, 0.2053)  4 Ag 3.09, 4 P 3.29, 4 Bi 3.37
Bi (0.3973, 0.3973, 0.7947)  4 Ag 3.09, 4 P 3.29, 4 Bi 3.37
P (0.2500, 0.7500, 0.5000)  4 P 2.39
Ag (0.0000, 0.0000, 0.0000)  8 Bi 3.09, 4 Ag 3.37
P (0.7500, 0.2500, 0.5000)  4 P 2.39

***

[4]
The following is a DFT calculation (GGA-PBEsol) of AgBiP2S after structural relaxation.

The final energy comes out at -3.94 eV per atom. The space-group type is P4/mmm, No. 123. For the formation energy without anion corrections, the calculation gives 0.769 eV/atom.

a = 4.7173 Å, b = 4.7173 Å, c = 4.8183 Å
α = 90.00°, β = 90.00°, γ = 90.00°
Closest atoms and distances in Å follow each position.
Sites, in units of the cell vectors:
S (0.0000, 0.0000, 0.5000)  2 Ag 2.41
P (0.0000, 0.5000, 0.0000)  2 Ag 2.36
Bi (0.5000, 0.5000, 0.5000)  4 S 3.34, 8 P 3.37
Ag (0.0000, 0.0000, 0.0000)  4 P 2.36, 2 S 2.41
P (0.5000, 0.0000, 0.0000)  2 Ag 2.36

***

[5]
The following is a DFT calculation (GGA-PBEsol) of AgBiP2Se6 after structural relaxation.

The final energy comes out at -4.39 eV per atom. The space-group type is R-3, No. 148. For the formation energy without anion corrections, the calculation gives -0.163 eV/atom.

a = 6.6017 Å, b = 6.6017 Å, c = 13.7895 Å
α = 76.15°, β = 76.15°, γ = 60.00°
Closest atoms and distances in Å follow each position.
Sites, in units of the cell vectors:
P (0.7225, 0.7225, 0.8325)  3 Se 2.21, 1 P 2.27
Ag (0.4031, 0.4031, 0.7907)  6 Se 2.70-3.01
Se (0.8588, 0.2646, 0.3807)  1 P 2.20
Se (0.7309, 0.0077, 0.8865)  1 P 2.21
Se (0.3749, 0.7309, 0.8865)  1 P 2.21
Se (0.5041, 0.1412, 0.6193)  1 P 2.20
Ag (0.5969, 0.5969, 0.2093)  6 Se 2.70-3.01
Se (0.1412, 0.7354, 0.6193)  1 P 2.20
Se (0.2646, 0.4959, 0.3807)  1 P 2.20
Se (0.2691, 0.9923, 0.1135)  1 P 2.21
P (0.7795, 0.7795, 0.6616)  3 Se 2.20, 1 P 2.27
Bi (0.9114, 0.9114, 0.2659)  6 Se 2.94-2.96
P (0.2205, 0.2205, 0.3384)  3 Se 2.20, 1 P 2.27
Se (0.9923, 0.6251, 0.1135)  1 P 2.21
P (0.2775, 0.2775, 0.1675)  3 Se 2.21, 1 P 2.27
Se (0.0077, 0.3749, 0.8865)  1 P 2.21
Se (0.6251, 0.2691, 0.1135)  1 P 2.21
Se (0.4959, 0.8588, 0.3807)  1 P 2.20
Se (0.7354, 0.5041, 0.6193)  1 P 2.20
Bi (0.0886, 0.0886, 0.7341)  6 Se 2.94-2.96

***

[6]
The following is a DFT calculation (GGA-PBEsol) of ZrAg2BiP after structural relaxation.

The final energy comes out at -4.43 eV per atom. The value obtained for the formation energy is 0.73 eV per atom. The space-group type is P4/mmm, No. 123.

a = 4.8349 Å, b = 5.1551 Å, c = 5.1551 Å
α = 90.00°, β = 90.00°, γ = 90.00°
Closest atoms and distances in Å follow each position.
Sites, in units of the cell vectors:
Bi (0.5000, 0.5000, 0.5000)  8 Ag 3.53, 4 P 3.65
P (0.5000, 0.0000, 0.0000)  2 Zr 2.42
Ag (0.0000, 0.0000, 0.5000)  2 Zr 2.58
Ag (0.0000, 0.5000, 0.0000)  2 Zr 2.58
Zr (0.0000, 0.0000, 0.0000)  2 P 2.42, 4 Ag 2.58

***

[7]
The following is a DFT calculation (GGA-PBEsol) of AgBi3PbS6 after structural relaxation.

The final energy comes out at -4.58 eV per atom. The space-group type is Cmc2_1, No. 36. For the formation energy without anion corrections, the calculation gives -0.351 eV/atom.

a = 4.0286 Å, b = 7.0445 Å, c = 19.5015 Å
α = 90.00°, β = 90.00°, γ = 106.62°
Closest atoms and distances in Å follow each position.
Sites, in units of the cell vectors:
Pb (0.8204, 0.6409, 0.7456)  4 S 2.84-3.00
S (0.0093, 0.0187, 0.5090)  1 Ag 2.65, 2 Bi 2.76
Pb (0.1796, 0.3591, 0.2456)  4 S 2.84-3.00
S (0.5594, 0.1189, 0.1680)  1 Bi 2.54, 2 Ag 2.58
Ag (0.0537, 0.1074, 0.6413)  4 S 2.47-2.65
Bi (0.3511, 0.7022, 0.5533)  3 S 2.54-2.70
S (0.4406, 0.8811, 0.6680)  1 Bi 2.54, 2 Ag 2.58
Bi (0.0997, 0.1994, 0.8597)  3 S 2.57-2.76
S (0.7306, 0.4611, 0.5917)  3 Bi 2.70-2.96
S (0.8278, 0.6557, 0.2378)  1 Ag 2.47, 1 Bi 2.57
Bi (0.6283, 0.2567, 0.4576)  6 S 2.72-2.96
S (0.1722, 0.3443, 0.7378)  1 Ag 2.47, 1 Bi 2.57
Bi (0.6489, 0.2978, 0.0533)  3 S 2.54-2.70
S (0.7437, 0.4875, 0.9021)  4 Bi 2.87-2.92
Bi (0.9003, 0.8006, 0.3597)  3 S 2.57-2.76
S (0.2694, 0.5389, 0.0917)  3 Bi 2.70-2.96
S (0.5351, 0.0702, 0.3340)  3 Bi 2.72-2.76
Bi (0.3717, 0.7433, 0.9576)  6 S 2.72-2.96
S (0.2563, 0.5125, 0.4021)  4 Bi 2.87-2.92
Ag (0.9463, 0.8926, 0.1413)  4 S 2.47-2.65
S (0.9907, 0.9813, 0.0090)  1 Ag 2.65, 2 Bi 2.76
S (0.4649, 0.9298, 0.8340)  3 Bi 2.72-2.76

***

[8]
The following is a DFT calculation (GGA-PBEsol) of AgBiPbS3 after structural relaxation.

The final energy comes out at -4.45 eV per atom. The space-group type is Imm2, No. 44. For the formation energy without anion corrections, the calculation gives -0.322 eV/atom.

a = 4.0172 Å, b = 5.6855 Å, c = 6.8973 Å
α = 114.34°, β = 106.93°, γ = 90.01°
Closest atoms and distances in Å follow each position.
Sites, in units of the cell vectors:
S (0.0110, 0.5109, 0.0218)  2 Bi 2.76, 2 Ag 2.85, 2 Pb 2.94
Pb (0.3307, 0.3309, 0.6616)  6 S 2.84-2.94
Ag (0.9943, 0.9943, 0.9886)  6 S 2.72-2.85
S (0.3407, 0.8406, 0.6811)  2 Ag 2.72, 2 Pb 2.84-2.85, 2 Bi 2.86
Bi (0.6695, 0.6695, 0.3389)  6 S 2.76-2.86
S (0.6540, 0.1540, 0.3080)  2 Ag 2.77, 2 Bi 2.85, 2 Pb 2.91